1.
Here is a relaxed TmThIr crystal from Alexandria. Energies are from PBE-GGA.

The structure in CIF format:
```
data_TmThIr
_cell_length_a 3.5573
_cell_length_b 3.5573
_cell_length_c 11.9719
_cell_angle_alpha 90.00
_cell_angle_beta 90.00
_cell_angle_gamma 90.00
_space_group_name_H-M_alt 'I 4 m m'
_space_group_IT_number 107
_space_group_name_Hall 'I 4 -2'
loop_
_atom_site_label
_atom_site_type_symbol
_atom_site_fract_x
_atom_site_fract_y
_atom_site_fract_z
_atom_site_occupancy
Tm1 Tm 0.0000 0.0000 0.0000 1
Th1 Th 0.0000 0.0000 0.7251 1
Ir1 Ir 0.0000 0.0000 0.3598 1
```

Values from the calculation:
VASP energy: -7.437 eV/atom
formation energy from the elements: -0.519 eV/atom
crystal system: tetragonal

2.
Here is a relaxed Tm5ThIr6 crystal from Alexandria. Energies are from PBE-GGA.

The structure in CIF format:
```
data_Tm5ThIr6
_cell_length_a 4.7589
_cell_length_b 14.2705
_cell_length_c 7.0677
_cell_angle_alpha 90.00
_cell_angle_beta 90.00
_cell_angle_gamma 90.00
_space_group_name_H-M_alt 'C m m m'
_space_group_IT_number 65
_space_group_name_Hall '-C 2 2'
loop_
_atom_site_label
_atom_site_type_symbol
_atom_site_fract_x
_atom_site_fract_y
_atom_site_fract_z
_atom_site_occupancy
Tm1 Tm 0.0000 0.0000 0.0000 1
Tm2 Tm 0.0000 0.3292 0.5000 1
Tm3 Tm 0.0000 0.3323 0.0000 1
Th1 Th 0.0000 0.0000 0.5000 1
Ir1 Ir 0.0000 0.1668 0.2475 1
Ir2 Ir 0.0000 0.5000 0.2448 1
```

Values from the calculation:
VASP energy: -7.808 eV/atom
formation energy from the elements: -0.896 eV/atom
crystal system: orthorhombic

3.
Here is a relaxed Tm2ThIr crystal from Alexandria. Energies are from PBE-GGA.

The structure in CIF format:
```
data_Tm2ThIr
_cell_length_a 3.4523
_cell_length_b 3.4523
_cell_length_c 8.5400
_cell_angle_alpha 90.00
_cell_angle_beta 90.00
_cell_angle_gamma 90.00
_space_group_name_H-M_alt 'P 4/m m m'
_space_group_IT_number 123
_space_group_name_Hall '-P 4 2'
loop_
_atom_site_label
_atom_site_type_symbol
_atom_site_fract_x
_atom_site_fract_y
_atom_site_fract_z
_atom_site_occupancy
Tm1 Tm 0.0000 0.0000 0.1894 1
Th1 Th 0.5000 0.5000 0.5000 1
Ir1 Ir 0.5000 0.5000 0.0000 1
```

Values from the calculation:
VASP energy: -6.757 eV/atom
formation energy from the elements: -0.451 eV/atom
crystal system: tetragonal

4.
Here is a relaxed TmTh2Ir2 crystal from Alexandria. Energies are from PBE-GGA.

The structure in CIF format:
```
data_TmTh2Ir2
_cell_length_a 7.8085
_cell_length_b 7.8085
_cell_length_c 3.9583
_cell_angle_alpha 90.00
_cell_angle_beta 90.00
_cell_angle_gamma 90.00
_space_group_name_H-M_alt 'P 4/m b m'
_space_group_IT_number 127
_space_group_name_Hall '-P 4 2ab'
loop_
_atom_site_label
_atom_site_type_symbol
_atom_site_fract_x
_atom_site_fract_y
_atom_site_fract_z
_atom_site_occupancy
Tm1 Tm 0.0000 0.0000 0.0000 1
Th1 Th 0.1655 0.3345 0.5000 1
Ir1 Ir 0.1393 0.6393 0.0000 1
```

Values from the calculation:
VASP energy: -8.246 eV/atom
formation energy from the elements: -0.839 eV/atom
crystal system: tetragonal

5.
Here is a relaxed Tm3ThIr8 crystal from Alexandria. Energies are from PBE-GGA.

The structure in CIF format:
```
data_Tm3ThIr8
_cell_length_a 5.3737
_cell_length_b 5.3737
_cell_length_c 8.7150
_cell_angle_alpha 90.00
_cell_angle_beta 90.00
_cell_angle_gamma 120.00
_space_group_name_H-M_alt 'P 3 m 1'
_space_group_IT_number 156
_space_group_name_Hall 'P 3 -2"'
loop_
_atom_site_label
_atom_site_type_symbol
_atom_site_fract_x
_atom_site_fract_y
_atom_site_fract_z
_atom_site_occupancy
Tm1 Tm 0.0000 0.0000 0.0000 1
Tm2 Tm 0.0000 0.0000 0.3604 1
Tm3 Tm 0.3333 0.6667 0.8755 1
Th1 Th 0.3333 0.6667 0.5064 1
Ir1 Ir 0.0067 0.5034 0.1835 1
Ir2 Ir 0.3257 0.1629 0.6882 1
Ir3 Ir 0.6667 0.3333 0.4344 1
Ir4 Ir 0.6667 0.3333 0.9360 1
```

Values from the calculation:
VASP energy: -8.458 eV/atom
formation energy from the elements: -0.815 eV/atom
crystal system: trigonal

6.
Here is a relaxed TmThIr2 crystal from Alexandria. Energies are from PBE-GGA.

The structure in CIF format:
```
data_TmThIr2
_cell_length_a 6.9955
_cell_length_b 6.9955
_cell_length_c 6.9955
_cell_angle_alpha 90.00
_cell_angle_beta 90.00
_cell_angle_gamma 90.00
_space_group_name_H-M_alt 'F m -3 m'
_space_group_IT_number 225
_space_group_name_Hall '-F 4 2 3'
loop_
_atom_site_label
_atom_site_type_symbol
_atom_site_fract_x
_atom_site_fract_y
_atom_site_fract_z
_atom_site_occupancy
Tm1 Tm 0.0000 0.0000 0.0000 1
Th1 Th 0.0000 0.0000 0.5000 1
Ir1 Ir 0.2500 0.2500 0.2500 1
```

Values from the calculation:
VASP energy: -8.225 eV/atom
formation energy from the elements: -0.822 eV/atom
crystal system: cubic

7.
Here is a relaxed TmThIr2 crystal from Alexandria. Energies are from PBE-GGA.

The structure in CIF format:
```
data_TmThIr2
_cell_length_a 4.9301
_cell_length_b 4.9301
_cell_length_c 3.5057
_cell_angle_alpha 90.00
_cell_angle_beta 90.00
_cell_angle_gamma 90.00
_space_group_name_H-M_alt 'P 4/m m m'
_space_group_IT_number 123
_space_group_name_Hall '-P 4 2'
loop_
_atom_site_label
_atom_site_type_symbol
_atom_site_fract_x
_atom_site_fract_y
_atom_site_fract_z
_atom_site_occupancy
Tm1 Tm 0.0000 0.0000 0.0000 1
Th1 Th 0.5000 0.5000 0.0000 1
Ir1 Ir 0.0000 0.5000 0.5000 1
```

Values from the calculation:
VASP energy: -8.235 eV/atom
formation energy from the elements: -0.831 eV/atom
crystal system: tetragonal

8.
Here is a relaxed TmThZnIr crystal from Alexandria. Energies are from PBE-GGA.

The structure in CIF format:
```
data_TmThZnIr
_cell_length_a 7.0872
_cell_length_b 7.0872
_cell_length_c 7.0872
_cell_angle_alpha 90.00
_cell_angle_beta 90.00
_cell_angle_gamma 90.00
_space_group_name_H-M_alt 'F -4 3 m'
_space_group_IT_number 216
_space_group_name_Hall 'F -4 2 3'
loop_
_atom_site_label
_atom_site_type_symbol
_atom_site_fract_x
_atom_site_fract_y
_atom_site_fract_z
_atom_site_occupancy
Tm1 Tm 0.0000 0.0000 0.0000 1
Th1 Th 0.0000 0.0000 0.5000 1
Zn1 Zn 0.2500 0.2500 0.7500 1
Ir1 Ir 0.2500 0.2500 0.2500 1
```

Values from the calculation:
VASP energy: -6.056 eV/atom
formation energy from the elements: -0.549 eV/atom
crystal system: cubic